A geometry-optimized GaMoOF2 structure, computed with PBE with a Hubbard U.

```
GaMoOF2
1.0
-0.737 -1.306 3.919
-3.543 -1.847 -1.282
1.887 -3.141 -0.691
Ga Mo F O
1 1 2 1
direct
0.000 0.000 0.000 Ga
0.500 0.500 0.500 Mo
0.000 0.500 0.000 F
0.500 0.000 0.000 F
0.000 0.000 0.500 O
```

Its total magnetic moment is 0.9830 μB/atom. The value obtained for the volume is 66 Å³/f.u. The space group is P4/mmm, No. 123. For the raw total energy, the calculation gives -5.054 eV/atom.